The following is a DFT calculation (PBE-GGA) of an optimized crystal structure of Na3TlCd.

Lattice parameters (Å, degrees): 6.7963 6.7963 9.1078 109.06 127.39 75.44
Closest atoms and distances in Å follow each position.
Sites, in units of the cell vectors:
Cd  0.6930  0.8253  0.5183  1 Cd 2.99, 2 Tl 3.05-3.16, 4 Na 3.13-3.32
Cd  0.3070  0.1747  0.4817  1 Cd 2.99, 2 Tl 3.05-3.16, 4 Na 3.13-3.32
Na  0.7206  0.5806  0.7788  2 Cd 3.21-3.55, 2 Tl 3.38-3.52, 2 Na 3.38-3.44
Na  0.7849  0.4606  0.2456  2 Cd 3.13-3.32, 1 Tl 3.21, 4 Na 3.38-3.44
Na  0.8018  0.9418  0.2212  2 Cd 3.21-3.55, 2 Tl 3.38-3.52, 2 Na 3.38-3.44
Na  0.1982  0.0582  0.7788  2 Cd 3.21-3.55, 2 Tl 3.38-3.52, 2 Na 3.38-3.44
Na  0.2151  0.5394  0.7544  2 Cd 3.13-3.32, 1 Tl 3.21, 4 Na 3.38-3.44
Na  0.2794  0.4194  0.2212  2 Cd 3.21-3.55, 2 Tl 3.38-3.52, 2 Na 3.38-3.44
Tl  0.7463  0.1368  0.8830  2 Cd 3.05-3.16, 3 Na 3.21-3.38, 1 Tl 3.21
Tl  0.2537  0.8632  0.1170  2 Cd 3.05-3.16, 3 Na 3.21-3.38, 1 Tl 3.21

## Properties
The density of states at the Fermi level comes out at 4.52 states/eV/cell. The calculated formation energy is -0.03 eV/atom. The crystal system is monoclinic. Its spin magnetization is 0.00 μB/atom.

=====

The following is a DFT calculation (PBE-GGA) of an optimized crystal structure of Pu2Ge7Pt12.

Lattice parameters (Å, degrees): 3.9900 10.2534 10.2533 120.00 90.00 90.00
Closest atoms and distances in Å follow each position.
Sites, in units of the cell vectors:
Ge  0.0000  0.3333  0.6667  3 Pt 2.43
Ge  0.0000  0.7351  0.9454  7 Pt 2.48-2.70
Ge  0.5000  0.9241  0.3721  7 Pt 2.48-2.67
Ge  0.5000  0.4480  0.0759  7 Pt 2.48-2.67
Ge  0.0000  0.2103  0.2649  7 Pt 2.48-2.70
Ge  0.5000  0.6279  0.5520  7 Pt 2.48-2.67
Ge  0.0000  0.0546  0.7897  7 Pt 2.48-2.70
Pt  0.0000  0.9459  0.2114  4 Ge 2.48-2.67
Pt  0.5000  0.7103  0.1096  4 Ge 2.48-2.70
Pt  0.5000  0.5799  0.7717  3 Ge 2.53-2.62
Pt  0.0000  0.2655  0.0541  4 Ge 2.48-2.67
Pt  0.5000  0.8904  0.6007  4 Ge 2.48-2.70
Pt  0.0000  0.0601  0.5444  4 Ge 2.43-2.57
Pt  0.0000  0.7886  0.7345  4 Ge 2.48-2.67
Pt  0.0000  0.4843  0.9399  4 Ge 2.43-2.57
Pt  0.5000  0.1918  0.4201  3 Ge 2.53-2.62
Pt  0.5000  0.3993  0.2897  4 Ge 2.48-2.70
Pt  0.5000  0.2283  0.8082  3 Ge 2.53-2.62
Pt  0.0000  0.4556  0.5157  4 Ge 2.43-2.57
Pu  0.0000  0.6667  0.3333  6 Ge 3.17, 9 Pt 3.24-3.50
Pu  0.5000  0.0000  0.0000  6 Ge 3.19, 6 Pt 3.19

## Properties
The density of states at the Fermi level comes out at 30.18 states/eV/cell. The calculated formation energy is -0.55 eV/atom. The crystal system is hexagonal. Its spin magnetization is 0.52 μB/atom.

=====

The following is a DFT calculation (PBE-GGA) of an optimized crystal structure of KIrOF2.

Lattice parameters (Å, degrees): 4.5901 4.5901 4.6070 90.00 90.00 90.00
Closest atoms and distances in Å follow each position.
Sites, in units of the cell vectors:
K  0.0000  0.0000  0.0000  4 F 2.30, 2 O 2.30
O  0.0000  0.0000  0.5000  2 K 2.30
F  0.0000  0.5000  0.0000  2 K 2.30
F  0.5000  0.0000  0.0000  2 K 2.30
Ir  0.5000  0.5000  0.5000  4 O 3.25, 8 F 3.25

## Properties
The density of states at the Fermi level comes out at 3.61 states/eV/cell. The crystal system is tetragonal. As for the raw formation energy: 0.541 eV per atom. Its spin magnetization is 0.81 μB/atom.

=====

The following is a DFT calculation (PBE-GGA) of an optimized crystal structure of Rb4Ce3AgSe8.

Lattice parameters (Å, degrees): 8.6717 9.3788 8.6780 117.57 119.98 90.00
Closest atoms and distances in Å follow each position.
Sites, in units of the cell vectors:
Se  0.7633  0.3060  0.0429  2 Ce 2.91, 1 Ag 3.01
Se  0.7330  0.6991  0.4659  3 Ce 2.96
Se  0.7625  0.3054  0.5250  2 Ce 2.90, 1 Ag 3.02
Se  0.2375  0.6946  0.4750  2 Ce 2.90, 1 Ag 3.02
Se  0.7204  0.6940  0.9571  2 Ce 2.91, 1 Ag 3.01
Se  0.2670  0.3009  0.5341  3 Ce 2.96
Se  0.2796  0.3060  0.0429  2 Ce 2.91, 1 Ag 3.01
Se  0.2367  0.6940  0.9571  2 Ce 2.91, 1 Ag 3.01
Ce  0.5000  0.5000  0.5000  6 Se 2.90-2.96
Ce  0.5000  0.5000  0.0000  6 Se 2.91-2.96
Ce  0.0000  0.5000  0.5000  6 Se 2.90-2.96
Rb  0.5000  0.0000  0.0000  6 Se 3.42-3.43
Rb  0.0000  0.0000  0.0000  6 Se 3.46-3.52
Rb  0.0000  0.0000  0.5000  6 Se 3.46-3.52
Rb  0.5000  0.0000  0.5000  6 Se 3.46-3.52
Ag  0.0000  0.5000  0.0000  6 Se 3.01-3.02

## Properties
The density of states at the Fermi level comes out at 14.24 states/eV/cell. The crystal system is monoclinic. As for the raw formation energy: -1.407 eV per atom. Its spin magnetization is 0.07 μB/atom.

=====

The following is a DFT calculation (PBE-GGA) of an optimized crystal structure of HfCoTc2W.

Lattice parameters (Å, degrees): 4.4433 4.4564 4.4433 90.00 90.00 90.00
Closest atoms and distances in Å follow each position.
Sites, in units of the cell vectors:
Tc  0.5000  0.0000  0.0000  2 Co 2.22
Tc  0.0000  0.0000  0.5000  2 Co 2.22
Hf  0.5000  0.5000  0.5000  4 W 3.14, 8 Tc 3.15
W  0.0000  0.5000  0.0000  2 Co 2.23
Co  0.0000  0.0000  0.0000  4 Tc 2.22, 2 W 2.23

## Properties
The density of states at the Fermi level comes out at 7.72 states/eV/cell. The calculated formation energy is 0.94 eV/atom. The crystal system is tetragonal. Its spin magnetization is 0.00 μB/atom.

=====

The following is a DFT calculation (PBE-GGA) of an optimized crystal structure of UCdBi2.

Lattice parameters (Å, degrees): 4.1883 5.0835 5.0835 90.00 90.00 90.00
Closest atoms and distances in Å follow each position.
Sites, in units of the cell vectors:
U  0.5000  0.5000  0.5000  8 Bi 3.29, 4 Cd 3.59
Bi  0.0000  0.0000  0.5000  4 Cd 3.29, 4 U 3.29, 4 Bi 3.59
Bi  0.0000  0.5000  0.0000  4 Cd 3.29, 4 U 3.29, 4 Bi 3.59
Cd  0.5000  0.0000  0.0000  8 Bi 3.29, 4 U 3.59

## Properties
The density of states at the Fermi level comes out at 6.75 states/eV/cell. The calculated formation energy is 0.00 eV/atom. The crystal system is tetragonal. Its spin magnetization is 0.59 μB/atom.

=====

The following is a DFT calculation (PBE-GGA) of an optimized crystal structure of SmEr3Cl.

Lattice parameters (Å, degrees): 5.2523 5.2523 5.2523 90.00 90.00 90.00
Closest atoms and distances in Å follow each position.
Sites, in units of the cell vectors:
Cl  0.0000  0.0000  0.0000  6 Er 2.63
Er  0.5000  0.0000  0.0000  2 Cl 2.63
Er  0.0000  0.5000  0.0000  2 Cl 2.63
Er  0.0000  0.0000  0.5000  2 Cl 2.63
Sm  0.5000  0.5000  0.5000  12 Er 3.71

## Properties
The density of states at the Fermi level comes out at 5.46 states/eV/cell. The crystal system is cubic. As for the raw formation energy: -0.422 eV per atom. Its spin magnetization is 0.00 μB/atom.

=====

The following is a DFT calculation (PBE-GGA) of an optimized crystal structure of Tl2PRu2.

Lattice parameters (Å, degrees): 6.1839 6.1839 4.9155 90.00 90.00 90.00
Closest atoms and distances in Å follow each position.
Sites, in units of the cell vectors:
Ru  0.8329  0.6671  0.0000  2 P 2.30
Ru  0.6671  0.1671  0.0000  2 P 2.30
Ru  0.1671  0.3329  0.0000  2 P 2.30
Ru  0.3329  0.8329  0.0000  2 P 2.30
P  0.5000  0.5000  0.0000  4 Ru 2.30
P  0.0000  0.0000  0.0000  4 Ru 2.30
Tl  0.1724  0.6724  0.5000  2 Ru 2.83, 1 Tl 3.02
Tl  0.8276  0.3276  0.5000  2 Ru 2.83, 1 Tl 3.02
Tl  0.3276  0.1724  0.5000  2 Ru 2.83, 1 Tl 3.02
Tl  0.6724  0.8276  0.5000  2 Ru 2.83, 1 Tl 3.02

## Properties
The density of states at the Fermi level comes out at 6.56 states/eV/cell. The calculated formation energy is 0.24 eV/atom. The crystal system is tetragonal. Its spin magnetization is 0.00 μB/atom.

=====

The following is a DFT calculation (PBE-GGA) of an optimized crystal structure of RbNbTeIr.

Lattice parameters (Å, degrees): 4.3123 4.3123 7.7334 90.00 90.00 120.00
Closest atoms and distances in Å follow each position.
Sites, in units of the cell vectors:
Te  0.0000  0.0000  0.7113  3 Ir 2.80, 3 Nb 3.11
Rb  0.6667  0.3333  0.3555  2 Ir 3.71-4.03, 3 Te 3.71, 3 Nb 3.99
Ir  0.6667  0.3333  0.8761  3 Nb 2.56, 3 Te 2.80
Nb  0.3333  0.6667  0.9521  3 Ir 2.56

## Properties
The density of states at the Fermi level comes out at 0.09 states/eV/cell. The crystal system is trigonal. As for the raw formation energy: -0.096 eV per atom. Its spin magnetization is 0.25 μB/atom.

=====

The following is a DFT calculation (PBE-GGA) of an optimized crystal structure of LaSmCdGe.

Lattice parameters (Å, degrees): 5.3325 5.3325 5.3325 60.00 60.00 60.00
Closest atoms and distances in Å follow each position.
Sites, in units of the cell vectors:
La  0.5000  0.5000  0.5000  4 Ge 3.27, 4 Cd 3.27
Sm  0.0000  0.0000  0.0000  4 Cd 3.27, 4 Ge 3.27
Ge  0.2500  0.2500  0.2500  4 Sm 3.27, 4 La 3.27
Cd  0.7500  0.7500  0.7500  4 La 3.27, 4 Sm 3.27

## Properties
The density of states at the Fermi level comes out at 3.01 states/eV/cell. The calculated formation energy is -0.50 eV/atom. The crystal system is cubic. Its spin magnetization is 0.00 μB/atom.

=====

The following is a DFT calculation (PBE-GGA) of an optimized crystal structure of CsCdGa2Ru.

Lattice parameters (Å, degrees): 4.9394 4.9394 5.4541 90.00 90.00 90.00
Closest atoms and distances in Å follow each position.
Sites, in units of the cell vectors:
Cd  0.0000  0.0000  0.5000  2 Ru 2.73
Cs  0.5000  0.5000  0.5000  4 Cd 3.49, 8 Ga 3.68
Ru  0.0000  0.0000  0.0000  4 Ga 2.47, 2 Cd 2.73
Ga  0.0000  0.5000  0.0000  2 Ru 2.47
Ga  0.5000  0.0000  0.0000  2 Ru 2.47

## Properties
The density of states at the Fermi level comes out at 2.30 states/eV/cell. The calculated formation energy is -0.11 eV/atom. The crystal system is tetragonal. Its spin magnetization is 0.00 μB/atom.

=====

The following is a DFT calculation (PBE-GGA) of an optimized crystal structure of NaTiMn2Pt.

Lattice parameters (Å, degrees): 4.3427 4.7519 4.3427 90.00 90.00 90.00
Closest atoms and distances in Å follow each position.
Sites, in units of the cell vectors:
Pt  0.5000  0.5000  0.5000  4 Na 3.07, 8 Mn 3.22
Mn  0.0000  0.0000  0.5000  2 Ti 2.17
Mn  0.5000  0.0000  0.0000  2 Ti 2.17
Ti  0.0000  0.0000  0.0000  4 Mn 2.17, 2 Na 2.38
Na  0.0000  0.5000  0.0000  2 Ti 2.38

## Properties
The density of states at the Fermi level comes out at 4.64 states/eV/cell. The calculated formation energy is 1.13 eV/atom. The crystal system is tetragonal. Its spin magnetization is 0.99 μB/atom.